Record 1
Crystalline TaTi6Pd5 at its relaxed geometry. Source: the Alexandria database, functional PBE-GGA.

Geometry as POSCAR:
```
TaTi6Pd5
1.0
4.5539 0.0100 -0.7901
-0.0105 6.1853 0.0118
-0.6314 -0.0154 6.9603
Pd Ti Ta
5 6 1
Direct
0.3810 0.4999 0.6752 Pd
0.6190 0.5001 0.3248 Pd
0.6215 0.0001 0.3275 Pd
0.3785 0.9999 0.6725 Pd
0.0000 0.5000 0.0000 Pd
0.5000 0.2494 0.0000 Ti
0.1359 0.7532 0.3347 Ti
0.5000 0.7506 0.0000 Ti
0.8641 0.7529 0.6653 Ti
0.8641 0.2468 0.6653 Ti
0.1359 0.2471 0.3347 Ti
0.0000 0.0000 0.0000 Ta
```

DFT total energy: -7.524 eV/atom
space-group type: P2/m
total magnetic moment: 0.000 μB per atom
formation energy: -425 meV per atom

Record 2
Crystalline Ce2PmSe5 at its relaxed geometry. Source: the Alexandria database, functional PBE-GGA.

Geometry as POSCAR:
```
Ce2PmSe5
1.0
7.8329 0.0000 0.0000
0.0000 8.4890 0.0000
0.0000 0.0000 12.5360
Se Ce Pm
20 8 4
Direct
0.8380 0.0457 0.8945 Se
0.3380 0.5457 0.6055 Se
0.6620 0.4543 0.3945 Se
0.7076 0.7500 0.7166 Se
0.6767 0.2500 0.6852 Se
0.1767 0.7500 0.8148 Se
0.3380 0.9543 0.6055 Se
0.3233 0.7500 0.3148 Se
0.2924 0.2500 0.2834 Se
0.6620 0.0457 0.3945 Se
0.1620 0.9543 0.1055 Se
0.1620 0.5457 0.1055 Se
0.7924 0.7500 0.2166 Se
0.5314 0.7500 0.9977 Se
0.9686 0.7500 0.4977 Se
0.0314 0.2500 0.5023 Se
0.8233 0.2500 0.1852 Se
0.4686 0.2500 0.0023 Se
0.2076 0.2500 0.7834 Se
0.8380 0.4543 0.8945 Se
0.0116 0.0014 0.3191 Ce
0.9884 0.5014 0.6809 Ce
0.0116 0.4986 0.3191 Ce
0.4884 0.4986 0.8191 Ce
0.5116 0.5014 0.1809 Ce
0.9884 0.9986 0.6809 Ce
0.4884 0.0014 0.8191 Ce
0.5116 0.9986 0.1809 Ce
0.0826 0.2500 0.0089 Pm
0.4174 0.2500 0.5089 Pm
0.9174 0.7500 0.9911 Pm
0.5826 0.7500 0.4911 Pm
```

DFT total energy: -6.023 eV/atom
space-group type: Pnma
total magnetic moment: 0.129 μB per atom

Record 3
Crystalline PrGdDy4 at its relaxed geometry. Source: the Alexandria database, functional PBE-GGA.

Geometry as POSCAR:
```
PrGdDy4
1.0
-3.4653 5.5377 1.0920
-6.1644 -0.3688 2.3940
-1.2655 1.9457 6.2032
Pr Gd Dy
1 1 4
Direct
0.0000 0.0000 0.0000 Pr
0.2500 0.2500 0.2500 Gd
0.6252 0.1244 0.6252 Dy
0.6252 0.6252 0.6252 Dy
0.6252 0.6252 0.1244 Dy
0.1244 0.6252 0.6252 Dy
```

DFT total energy: -5.958 eV/atom
space-group type: F-43m
total magnetic moment: 1.419 μB per atom
formation energy: 253 meV per atom

Record 4
Crystalline Mn2AlRe at its relaxed geometry. Source: the Alexandria database, functional PBE-GGA.

Geometry as POSCAR:
```
Mn2AlRe
1.0
3.2403 0.0000 0.0000
0.0000 4.0882 0.0000
0.0000 0.0000 3.9896
Al Mn Re
1 2 1
Direct
0.0000 0.5000 0.5000 Al
0.5000 0.5000 0.0000 Mn
0.0000 0.0000 0.0000 Mn
0.5000 0.0000 0.5000 Re
```

DFT total energy: -8.646 eV/atom
space-group type: Pmmm
total magnetic moment: 1.010 μB per atom
formation energy: -13 meV per atom

Record 5
Crystalline Ce5InOs at its relaxed geometry. Source: the Alexandria database, functional PBE-GGA.

Geometry as POSCAR:
```
Ce5InOs
1.0
-2.4999 1.1533 -4.1064
4.0176 -0.9617 -2.7159
-2.2382 -7.3606 -0.7046
Ce In Os
5 1 1
Direct
0.5000 0.5000 0.5000 Ce
0.0000 0.5000 0.7969 Ce
0.5000 0.0000 0.7969 Ce
0.0000 0.5000 0.2031 Ce
0.5000 0.0000 0.2031 Ce
0.0000 0.0000 0.5000 In
0.5000 0.5000 0.0000 Os
```

DFT total energy: -6.392 eV/atom
space-group type: P4/mmm
total magnetic moment: 0.632 μB per atom
formation energy: -158 meV per atom

Record 6
Crystalline Ce2Th at its relaxed geometry. Source: the Alexandria database, functional PBE-GGA.

Geometry as POSCAR:
```
Ce2Th
1.0
6.2144 0.0000 0.0000
3.1072 5.3818 0.0000
3.1072 1.7939 5.0740
Ce Th
4 2
Direct
0.1250 0.6250 0.6250 Ce
0.6250 0.6250 0.6250 Ce
0.6250 0.1250 0.6250 Ce
0.6250 0.6250 0.1250 Ce
0.0000 0.0000 0.0000 Th
0.2500 0.2500 0.2500 Th
```

DFT total energy: -6.274 eV/atom
space-group type: Fd-3m
total magnetic moment: 0.406 μB per atom
formation energy: 156 meV per atom

Record 7
Crystalline SrTlCd2 at its relaxed geometry. Source: the Alexandria database, functional PBE-GGA.

Geometry as POSCAR:
```
SrTlCd2
1.0
5.3555 0.0000 0.0000
0.0000 5.6971 -3.2616
0.0000 -1.0589 4.7567
Sr Cd Tl
1 2 1
Direct
0.5000 0.7766 0.5533 Sr
0.0000 0.0664 0.1328 Cd
0.5000 0.2625 0.5249 Cd
0.0000 0.4975 0.9951 Tl
```

DFT total energy: -1.576 eV/atom
space-group type: Amm2
total magnetic moment: 0.000 μB per atom
formation energy: -106 meV per atom

Record 8
Crystalline La5Sn3 at its relaxed geometry. Source: the Alexandria database, functional PBE-GGA.

Geometry as POSCAR:
```
La5Sn3
1.0
9.6012 0.0010 0.0000
-7.5001 5.9942 0.0000
-1.0505 -2.9976 9.0605
Sn La
6 10
Direct
0.3397 0.8397 0.1793 Sn
0.2500 0.2500 0.0000 Sn
0.1603 0.3397 0.5000 Sn
0.8397 0.6603 0.5000 Sn
0.6603 0.1603 0.8207 Sn
0.7500 0.7500 0.0000 Sn
0.4145 0.2821 0.6966 La
0.2179 0.0855 0.3034 La
0.7179 0.4145 0.1324 La
0.0855 0.7821 0.8676 La
0.5855 0.7179 0.3034 La
0.2500 0.7500 0.5000 La
0.2821 0.5855 0.8676 La
0.9145 0.2179 0.1324 La
0.7500 0.2500 0.5000 La
0.7821 0.9145 0.6966 La
```

DFT total energy: -5.288 eV/atom
space-group type: I4/mcm
total magnetic moment: 0.173 μB per atom
formation energy: -708 meV per atom

Record 9
Crystalline MgPt4O8 at its relaxed geometry. Source: the Alexandria database, functional PBE-GGA.

Geometry as POSCAR:
```
MgPt4O8
1.0
-4.5436 2.8849 -3.2871
-5.2235 -3.1526 -1.5964
-5.4934 1.3934 2.7664
O Pt Mg
8 4 1
Direct
0.1431 0.1431 0.5707 O
0.6125 0.6125 0.6125 O
0.1624 0.6125 0.6125 O
0.6125 0.6125 0.1624 O
0.1431 0.1431 0.1431 O
0.6125 0.1624 0.6125 O
0.1431 0.5707 0.1431 O
0.5707 0.1431 0.1431 O
0.3738 0.3738 0.3738 Pt
0.3738 0.3738 0.8786 Pt
0.3738 0.8786 0.3738 Pt
0.8786 0.3738 0.3738 Pt
0.7500 0.7500 0.7500 Mg
```

DFT total energy: -5.643 eV/atom
space-group type: F-43m
total magnetic moment: 0.000 μB per atom

Record 10
Crystalline LaAuC at its relaxed geometry. Source: the Alexandria database, functional PBE-GGA.

Geometry as POSCAR:
```
LaAuC
1.0
6.9555 0.0000 0.0000
0.0000 5.4286 0.0000
0.0000 0.0000 6.0663
C Au La
4 4 4
Direct
0.6707 0.2500 0.9483 C
0.1707 0.2500 0.5517 C
0.8293 0.7500 0.4483 C
0.3293 0.7500 0.0517 C
0.4614 0.2500 0.6699 Au
0.0386 0.7500 0.1699 Au
0.9614 0.2500 0.8301 Au
0.5386 0.7500 0.3301 Au
0.8264 0.2500 0.3485 La
0.1736 0.7500 0.6515 La
0.6736 0.7500 0.8485 La
0.3264 0.2500 0.1515 La
```

DFT total energy: -5.905 eV/atom
space-group type: Pnma
total magnetic moment: 0.000 μB per atom
formation energy: -96 meV per atom

Record 11
Crystalline GaAs2Pt2 at its relaxed geometry. Source: the Alexandria database, functional PBE-GGA.

Geometry as POSCAR:
```
GaAs2Pt2
1.0
4.6487 0.0000 0.0000
0.0000 4.6487 0.0000
2.3244 2.3244 4.6716
As Pt Ga
2 2 1
Direct
0.2500 0.7500 0.5000 As
0.7500 0.2500 0.5000 As
0.3569 0.3569 0.2862 Pt
0.6431 0.6431 0.7138 Pt
0.0000 0.0000 0.0000 Ga
```

DFT total energy: -4.980 eV/atom
space-group type: I4/mmm
total magnetic moment: 0.000 μB per atom
formation energy: -99 meV per atom

Record 12
Crystalline Ca5In2Au12 at its relaxed geometry. Source: the Alexandria database, functional PBE-GGA.

Geometry as POSCAR:
```
Ca5In2Au12
1.0
7.0312 0.0361 0.4196
-0.2428 6.6406 3.4986
-0.1501 -0.4112 8.8297
In Au Ca
2 12 5
Direct
0.0000 0.2754 0.0000 In
0.0000 0.7246 0.0000 In
0.2483 0.0341 0.3040 Au
0.6953 0.5574 0.8853 Au
0.7517 0.3381 0.6960 Au
0.3047 0.4426 0.1147 Au
0.7517 0.9659 0.6960 Au
0.6440 0.5899 0.2152 Au
0.6440 0.1949 0.2152 Au
0.3560 0.8051 0.7848 Au
0.1081 0.1179 0.7642 Au
0.3560 0.4101 0.7848 Au
0.2483 0.6619 0.3040 Au
0.8919 0.8821 0.2358 Au
0.5626 0.7544 0.4912 Ca
0.4374 0.2456 0.5088 Ca
0.0423 0.6945 0.6111 Ca
0.9577 0.3055 0.3889 Ca
0.5000 0.0000 0.0000 Ca
```

DFT total energy: -3.456 eV/atom
space-group type: C2/m
total magnetic moment: 0.000 μB per atom
formation energy: -571 meV per atom

Record 13
Crystalline PaMnNiRu at its relaxed geometry. Source: the Alexandria database, functional PBE-GGA.

Geometry as POSCAR:
```
PaMnNiRu
1.0
4.5438 0.0000 0.0000
2.2719 3.9351 0.0000
2.2719 1.3117 3.7100
Pa Ru Mn Ni
1 1 1 1
Direct
0.0000 0.0000 0.0000 Pa
0.2500 0.2500 0.2500 Ru
0.5000 0.5000 0.5000 Mn
0.7500 0.7500 0.7500 Ni
```

DFT total energy: -8.537 eV/atom
space-group type: F-43m
total magnetic moment: 0.932 μB per atom
formation energy: -106 meV per atom

Record 14
Crystalline ZnReMo2 at its relaxed geometry. Source: the Alexandria database, functional PBE-GGA.

Geometry as POSCAR:
```
ZnReMo2
1.0
4.4153 0.0000 0.0000
2.2076 3.8237 0.0000
2.2076 1.2746 3.6050
Mo Zn Re
2 1 1
Direct
0.0000 0.0000 0.0000 Mo
0.2500 0.2500 0.2500 Mo
0.7500 0.7500 0.7500 Zn
0.5000 0.5000 0.5000 Re
```

DFT total energy: -8.598 eV/atom
space-group type: F-43m
total magnetic moment: 0.000 μB per atom
formation energy: 248 meV per atom

Record 15
Crystalline KFeP2 at its relaxed geometry. Source: the Alexandria database, functional PBE-GGA.

Geometry as POSCAR:
```
KFeP2
1.0
-3.8521 -1.9732 7.7183
-6.0850 -2.8660 5.7500
-3.7450 -4.7965 6.4243
Fe K P
1 1 2
Direct
0.5263 0.5263 0.5263 Fe
0.7469 0.7469 0.7469 K
0.2492 0.2492 0.2492 P
0.9776 0.9776 0.9776 P
```

DFT total energy: -4.626 eV/atom
space-group type: R3m
total magnetic moment: 0.527 μB per atom
formation energy: 469 meV per atom

Record 16
Crystalline LaV2Si2 at its relaxed geometry. Source: the Alexandria database, functional PBE-GGA.

Geometry as POSCAR:
```
LaV2Si2
1.0
4.5994 0.0000 0.0000
0.0000 4.5994 0.0000
2.2997 2.2997 4.4023
Si V La
2 2 1
Direct
0.2500 0.7500 0.5000 Si
0.7500 0.2500 0.5000 Si
0.6138 0.6138 0.7724 V
0.3862 0.3862 0.2276 V
0.0000 0.0000 0.0000 La
```

DFT total energy: -6.916 eV/atom
space-group type: I4/mmm
total magnetic moment: 0.000 μB per atom

Record 17
Crystalline Ce2Pu2Ir3 at its relaxed geometry. Source: the Alexandria database, functional PBE-GGA.

Geometry as POSCAR:
```
Ce2Pu2Ir3
1.0
4.1672 -0.0029 0.0006
-2.0739 6.8542 0.7818
-0.0053 -0.1770 5.8135
Ce Pu Ir
2 2 3
Direct
0.3570 0.7145 0.1069 Ce
0.6430 0.2855 0.8931 Ce
0.1017 0.2027 0.4075 Pu
0.8983 0.7973 0.5925 Pu
0.7303 0.4606 0.3292 Ir
0.0000 0.0000 0.0000 Ir
0.2697 0.5394 0.6708 Ir
```

DFT total energy: -10.115 eV/atom
space-group type: C2/m
total magnetic moment: 1.662 μB per atom
formation energy: -527 meV per atom

Record 18
Crystalline FeP2Ir at its relaxed geometry. Source: the Alexandria database, functional PBE-GGA.

Geometry as POSCAR:
```
FeP2Ir
1.0
-1.6668 3.8753 -0.7194
-2.1095 -1.3680 -2.4817
-3.7447 -1.3497 1.4053
Ir Fe P
1 1 2
Direct
0.5000 0.8490 0.6760 Ir
0.0000 0.4023 0.5711 Fe
0.0000 0.7168 0.9413 P
0.5000 0.5319 0.3116 P
```

DFT total energy: -7.407 eV/atom
space-group type: Amm2
total magnetic moment: 0.000 μB per atom
formation energy: -371 meV per atom

Record 19
Crystalline K2ZnSi at its relaxed geometry. Source: the Alexandria database, functional PBE-GGA.

Geometry as POSCAR:
```
K2ZnSi
1.0
0.0000 4.0934 4.0934
4.0934 0.0000 4.0934
4.0934 4.0934 0.0000
Si K Zn
1 2 1
Direct
0.0000 0.0000 0.0000 Si
0.7500 0.7500 0.7500 K
0.2500 0.2500 0.2500 K
0.5000 0.5000 0.5000 Zn
```

DFT total energy: -1.757 eV/atom
space-group type: Fm-3m
total magnetic moment: 0.500 μB per atom

Record 20
Crystalline NaPmScTl at its relaxed geometry. Source: the Alexandria database, functional PBE-GGA.

Geometry as POSCAR:
```
NaPmScTl
1.0
-4.7716 -2.1980 -0.9220
-2.1451 -3.3180 3.5832
-4.2384 1.5331 2.8522
Na Tl Sc Pm
1 1 1 1
Direct
0.0000 0.0000 0.0000 Na
0.5000 0.5000 0.5000 Tl
0.2500 0.2500 0.2500 Sc
0.7500 0.7500 0.7500 Pm
```

DFT total energy: -3.725 eV/atom
space-group type: F-43m
total magnetic moment: 0.003 μB per atom
formation energy: -33 meV per atom

Record 21
Crystalline LaCu2Pb at its relaxed geometry. Source: the Alexandria database, functional PBE-GGA.

Geometry as POSCAR:
```
LaCu2Pb
1.0
4.4210 0.0000 0.0000
0.0000 3.6959 -0.0223
0.0000 0.0402 5.8642
Cu Pb La
2 1 1
Direct
0.0000 0.7504 0.0363 Cu
0.0000 0.7496 0.4637 Cu
0.5000 0.7500 0.7500 Pb
0.5000 0.2500 0.2500 La
```

DFT total energy: -4.282 eV/atom
space-group type: Pmmm
total magnetic moment: 0.000 μB per atom
formation energy: -75 meV per atom

Record 22
Crystalline Ac2ErPdO6 at its relaxed geometry. Source: the Alexandria database, functional PBE-GGA.

Geometry as POSCAR:
```
Ac2ErPdO6
1.0
5.7252 0.0000 0.0000
0.0000 6.1233 0.0000
0.0000 0.0000 8.8095
O Pd Er Ac
12 2 2 4
Direct
0.0000 0.8034 0.2568 O
0.2608 0.5426 0.0000 O
0.7608 0.4574 0.5000 O
0.5000 0.1966 0.7568 O
0.0000 0.8034 0.7432 O
0.7423 0.9913 0.0000 O
0.7577 0.0087 0.5000 O
0.2392 0.4574 0.5000 O
0.2577 0.9913 0.0000 O
0.2423 0.0087 0.5000 O
0.7392 0.5426 0.0000 O
0.5000 0.1966 0.2432 O
0.0000 0.7644 0.0000 Pd
0.5000 0.2356 0.5000 Pd
0.5000 0.2733 0.0000 Er
0.0000 0.7267 0.5000 Er
0.5000 0.7892 0.7853 Ac
0.5000 0.7892 0.2147 Ac
0.0000 0.2108 0.7147 Ac
0.0000 0.2108 0.2853 Ac
```

DFT total energy: -7.291 eV/atom
space-group type: Pmmn
total magnetic moment: 0.101 μB per atom

Record 23
Crystalline ReHg2Sb at its relaxed geometry. Source: the Alexandria database, functional PBE-GGA.

Geometry as POSCAR:
```
ReHg2Sb
1.0
-5.2255 0.3282 9.7508
-5.9186 -2.6295 8.9748
-3.2061 -1.9790 10.4065
Re Sb Hg
1 1 2
Direct
0.4970 0.4970 0.4970 Re
0.7694 0.7694 0.7694 Sb
0.9982 0.9982 0.9982 Hg
0.2355 0.2355 0.2355 Hg
```

DFT total energy: -3.856 eV/atom
space-group type: R3m
total magnetic moment: 0.000 μB per atom

Record 24
Crystalline LaTm3Hg at its relaxed geometry. Source: the Alexandria database, functional PBE-GGA.

Geometry as POSCAR:
```
LaTm3Hg
1.0
6.0437 0.0000 0.0000
0.0000 6.0437 0.0000
-3.0219 -3.0219 10.2061
Hg Tm La
2 6 2
Direct
0.2500 0.7500 0.5000 Hg
0.0000 0.0000 0.0000 Hg
0.1272 0.3779 0.2543 Tm
0.7109 0.7109 0.4219 Tm
0.1272 0.8764 0.2543 Tm
0.1236 0.8728 0.7457 Tm
0.2891 0.2891 0.5781 Tm
0.6221 0.8728 0.7457 Tm
0.9404 0.4404 0.8808 La
0.5596 0.0596 0.1192 La
```

DFT total energy: -3.391 eV/atom
space-group type: I-4m2
total magnetic moment: 0.000 μB per atom
formation energy: 338 meV per atom